Compound: PuSc2Tc
Source: Alexandria
Functional: PBE
Structure: optimized geometry

Results
SG: P4/mmm, No. 123
E_form in eV/atom: -0.047
Mass density in g cm⁻³: 8.22

Structure (extended XYZ):
```
4
Lattice="3.248 0.000 0.000 0.000 3.248 0.000 0.000 0.000 8.275" Properties=species:S:1:pos:R:3 pbc="T T T"
Pu 0.000 0.000 0.000
Sc 1.624 1.624 2.586
Sc 1.624 1.624 5.688
Tc 0.000 0.000 4.137
```

Compound: Pm2Nd5Er4
Source: Alexandria
Functional: PBE
Structure: optimized geometry

Results
SG: C2/m, No. 12
E_form in eV/atom: 0.142
Mass density in g cm⁻³: 7.38
Energy relative to the lowest polymorph listed for this composition in kJ/mol of formula units: 0

Structure (extended XYZ):
```
11
Lattice="9.038 -1.795 0.000 9.038 1.795 0.000 -3.628 0.000 11.650" Properties=species:S:1:pos:R:3 pbc="T T T"
Pm 2.133 0.000 3.385
Pm 12.315 0.000 8.265
Nd 0.000 0.000 0.000
Nd 2.452 0.000 11.511
Nd 5.238 0.000 5.634
Nd 9.209 0.000 6.017
Nd 11.996 0.000 0.139
Er 0.284 0.000 8.946
Er 8.062 0.000 2.887
Er 6.386 0.000 8.763
Er 14.164 0.000 2.704
```

Q: The lowest E_form belongs to which entry?
A: PuSc2Tc

Repeat the second record exactly.
Compound: Pm2Nd5Er4
Source: Alexandria
Functional: PBE
Structure: optimized geometry

Results
SG: C2/m, No. 12
E_form in eV/atom: 0.142
Mass density in g cm⁻³: 7.38
Energy relative to the lowest polymorph listed for this composition in kJ/mol of formula units: 0

Structure (extended XYZ):
```
11
Lattice="9.038 -1.795 0.000 9.038 1.795 0.000 -3.628 0.000 11.650" Properties=species:S:1:pos:R:3 pbc="T T T"
Pm 2.133 0.000 3.385
Pm 12.315 0.000 8.265
Nd 0.000 0.000 0.000
Nd 2.452 0.000 11.511
Nd 5.238 0.000 5.634
Nd 9.209 0.000 6.017
Nd 11.996 0.000 0.139
Er 0.284 0.000 8.946
Er 8.062 0.000 2.887
Er 6.386 0.000 8.763
Er 14.164 0.000 2.704
```

Q: Among the records above, which one has the lowest mass density?
A: Pm2Nd5Er4

Q: Which value of mass density does entry 2 give?
A: 7.38 g cm⁻³